Li2Sc2TlSnPt2 | PBE-GGA | relaxed

Values from the calculation:
* V: 17.660 Å³ per atom
* energy: -41.1 eV for the cell shown

Lattice parameters (Å, degrees): 4.634 4.634 6.580 90.00 90.00 90.00
Fractional coordinates of all 8 atoms:
Li: 0.500 0.000 0.251
Li: 0.000 0.500 0.749
Pt: 0.000 0.500 0.239
Pt: 0.500 0.000 0.761
Sc: 0.500 0.500 0.000
Sc: 0.000 0.000 0.500
Sn: 0.000 0.000 0.000
Tl: 0.500 0.500 0.500

InB4Pd | PBE-GGA | relaxed

Values from the calculation:
* V: 10.487 Å³ per atom
* energy: -32.3 eV for the cell shown

Lattice parameters (Å, degrees): 4.923 4.923 4.923 143.54 114.80 77.07
Fractional coordinates of all 6 atoms:
B: 0.582 0.250 0.332
B: 0.082 0.750 0.332
B: 0.918 0.250 0.668
B: 0.418 0.750 0.668
In: 0.000 0.000 0.000
Pd: 0.500 0.500 0.000

Li3Nd2DyPb3 | PBE-GGA | relaxed

Values from the calculation:
* V: 25.253 Å³ per atom
* energy: -35.4 eV for the cell shown

Lattice parameters (Å, degrees): 4.857 4.857 11.124 90.00 90.00 120.00
Fractional coordinates of all 9 atoms:
Dy: 0.000 0.000 0.000
Li: 0.667 0.333 0.183
Li: 0.333 0.667 0.500
Li: 0.667 0.333 0.817
Nd: 0.000 0.000 0.331
Nd: 0.000 0.000 0.669
Pb: 0.333 0.667 0.163
Pb: 0.667 0.333 0.500
Pb: 0.333 0.667 0.837

NiW4N3 | PBE-GGA | relaxed

Values from the calculation:
* V: 11.165 Å³ per atom
* energy: -162.7 eV for the cell shown

Lattice parameters (Å, degrees): 2.804 2.804 26.235 90.00 90.00 120.00
Fractional coordinates of all 16 atoms:
N: 0.000 0.000 0.000
N: 0.667 0.333 0.114
N: 0.667 0.333 0.386
N: 0.000 0.000 0.500
N: 0.333 0.667 0.614
N: 0.333 0.667 0.886
Ni: 0.333 0.667 0.250
Ni: 0.667 0.333 0.750
W: 0.333 0.667 0.057
W: 0.000 0.000 0.170
W: 0.000 0.000 0.330
W: 0.333 0.667 0.443
W: 0.667 0.333 0.557
W: 0.000 0.000 0.670
W: 0.000 0.000 0.830
W: 0.667 0.333 0.943

HfBeCdPt | PBE-GGA | relaxed

Values from the calculation:
* V: 16.489 Å³ per atom
* energy: -22.0 eV for the cell shown

Lattice parameters (Å, degrees): 4.535 4.535 4.535 60.00 60.00 60.00
Fractional coordinates of all 4 atoms:
Be: 0.750 0.750 0.750
Cd: 0.500 0.500 0.500
Hf: 0.000 0.000 0.000
Pt: 0.250 0.250 0.250

PuTl2Br6 | PBE-GGA | relaxed

Values from the calculation:
* V: 42.462 Å³ per atom
* energy: -78.4 eV for the cell shown

Lattice parameters (Å, degrees): 7.390 7.390 13.995 90.00 90.00 90.00
Site moments in Bohr magnetons follow the coordinates.
Fractional coordinates of all 18 atoms:
Br: 0.265 0.265 0.000  -0.08
Br: 0.735 0.735 0.000  -0.08
Br: 0.817 0.183 0.144  -0.07
Br: 0.183 0.817 0.144  -0.07
Br: 0.317 0.317 0.356  -0.07
Br: 0.683 0.683 0.356  -0.07
Br: 0.765 0.235 0.500  -0.07
Br: 0.235 0.765 0.500  -0.07
Br: 0.317 0.317 0.644  -0.07
Br: 0.683 0.683 0.644  -0.07
Br: 0.817 0.183 0.856  -0.07
Br: 0.183 0.817 0.856  -0.07
Pu: 0.000 0.000 0.000  4.52
Pu: 0.500 0.500 0.500  4.52
Tl: 0.500 0.500 0.167  -0.01
Tl: 0.000 0.000 0.333  -0.01
Tl: 0.000 0.000 0.667  -0.01
Tl: 0.500 0.500 0.833  -0.01

CsBaIr | PBE-GGA | relaxed

Values from the calculation:
* V: 36.379 Å³ per atom
* energy: -8.8 eV for the cell shown

Lattice parameters (Å, degrees): 5.364 5.364 5.364 60.00 60.00 60.00
Fractional coordinates of all 3 atoms:
Ba: 0.250 0.250 0.250
Cs: 0.000 0.000 0.000
Ir: 0.750 0.750 0.750

SiNiW4C2 | PBE-GGA | relaxed

Values from the calculation:
* V: 12.857 Å³ per atom
* energy: -80.0 eV for the cell shown

Lattice parameters (Å, degrees): 3.091 3.091 12.431 90.00 90.00 120.00
Fractional coordinates of all 8 atoms:
C: 0.333 0.667 0.250
C: 0.333 0.667 0.750
Ni: 0.000 0.000 0.000
Si: 0.667 0.333 0.500
W: 0.667 0.333 0.158
W: 0.000 0.000 0.346
W: 0.000 0.000 0.654
W: 0.667 0.333 0.842